<one>
Here is an optimized crystal structure of Tb2CePr from Alexandria. Energies are from PBE-GGA.

a = 5.7208 Å, b = 5.7208 Å, c = 5.7208 Å
α = 60.00°, β = 60.00°, γ = 60.00°
Atoms (fractional coordinates):
Tb: 0.2500 0.2500 0.2500
Tb: 0.7500 0.7500 0.7500
Ce: 0.0000 0.0000 0.0000
Pr: 0.5000 0.5000 0.5000

<two>
Here is an optimized crystal structure of Tb2CePr from Alexandria. Energies are from PBE-GGA.

a = 11.7108 Å, b = 11.7108 Å, c = 6.5110 Å
α = 93.95°, β = 93.95°, γ = 16.95°
Atoms (fractional coordinates):
Tb: 0.1212 0.1212 0.0321
Tb: 0.3772 0.3772 0.4684
Tb: 0.6228 0.6228 0.5316
Tb: 0.8788 0.8788 0.9679
Ce: 0.4991 0.4991 0.7916
Ce: 0.5009 0.5009 0.2084
Pr: 0.2497 0.2497 0.7436
Pr: 0.7503 0.7503 0.2564

<three>
Here is an optimized crystal structure of Tb2CePr from Alexandria. Energies are from PBE-GGA.

a = 12.5081 Å, b = 12.5081 Å, c = 12.5081 Å
α = 16.00°, β = 16.00°, γ = 16.00°
Atoms (fractional coordinates):
Tb: 0.0920 0.0920 0.0920
Tb: 0.9080 0.9080 0.9080
Ce: 0.5000 0.5000 0.5000
Pr: 0.0000 0.0000 0.0000

Most stable structure: <two>

<one>
Here is an optimized crystal structure of Tb2CePr from Alexandria. Energies are from PBE-GGA.

a = 3.5713 Å, b = 3.5713 Å, c = 10.1115 Å
α = 90.00°, β = 90.00°, γ = 90.00°
Atoms (fractional coordinates):
Tb: 0.0000 0.0000 0.2377
Tb: 0.0000 0.0000 0.7623
Ce: 0.5000 0.5000 0.0000
Pr: 0.5000 0.5000 0.5000

<two>
Here is an optimized crystal structure of Tb2CePr from Alexandria. Energies are from PBE-GGA.

a = 5.0905 Å, b = 5.0905 Å, c = 5.0236 Å
α = 90.00°, β = 90.00°, γ = 90.00°
Atoms (fractional coordinates):
Tb: 0.0000 0.5000 0.0000
Tb: 0.5000 0.0000 0.0000
Ce: 0.0000 0.0000 0.5000
Pr: 0.5000 0.5000 0.5000

Most stable structure: <one>